# Si2RuRh

A relaxed structure of Si2RuRh (PBE, Alexandria).

Cell: 5.854 5.854 5.854 Å, 151.06 144.57 46.37°
Element x y z (fractional)
Si  0.036  0.036  0.000
Rh  0.458  0.458  0.000
Si  0.794  0.294  0.500
Ru  0.212  0.712  0.500

Computed properties:
M_tot: 0.0 μB per formula unit
raw formation energy: -0.6143 eV per atom
V: 14.02 Å³ per atom